#1
Entry from the Alexandria database: a relaxed TbTm2Zn crystal (GGA-PBE).

The density of states at the Fermi level is 5.2 states/eV/f.u. As for the space group: R3m, No. 160. The volume is 27.7 Å³/atom.

Cell: 3.5560 3.5560 10.3316 Å, 80.09 80.09 60.00°
Closest atoms and distances in Å follow each position.
Fractional coordinates of all 4 atoms:
Tb  0.5004  0.5004  0.4989  6 Tm 3.53-3.54, 6 Tb 3.56
Tm  0.2614  0.2614  0.2158  3 Zn 2.99
Tm  0.0720  0.0720  0.7841  3 Zn 3.01
Zn  0.6663  0.6663  0.0012  6 Tm 2.99-3.01


#2
Entry from the Alexandria database: a relaxed TbTm2Zn crystal (GGA-PBE).

The density of states at the Fermi level is 3.3 states/eV/f.u. As for the space group: R-3m, No. 166. The volume is 27.4 Å³/atom.

Cell: 3.5179 3.5179 10.4136 Å, 80.28 80.28 60.00°
Closest atoms and distances in Å follow each position.
Fractional coordinates of all 4 atoms:
Tb  0.5000  0.5000  0.5000  6 Tb 3.52, 6 Tm 3.53
Zn  0.0000  0.0000  0.0000  6 Tm 3.01
Tm  0.7392  0.7392  0.7825  3 Zn 3.01
Tm  0.2608  0.2608  0.2175  3 Zn 3.01


#3
Entry from the Alexandria database: a relaxed TbTm2Zn crystal (GGA-PBE).

The density of states at the Fermi level is 5.5 states/eV/f.u. As for the space group: P4/mmm, No. 123. The volume is 26.0 Å³/atom.

Cell: 4.7071 4.7025 4.7025 Å, 90.00 90.00 90.00°
Closest atoms and distances in Å follow each position.
Fractional coordinates of all 4 atoms:
Tm  0.0000  0.5000  0.0000  4 Tm 3.33, 4 Tb 3.33, 4 Zn 3.33
Tb  0.5000  0.5000  0.5000  4 Zn 3.33, 8 Tm 3.33
Zn  0.5000  0.0000  0.0000  4 Tb 3.33, 8 Tm 3.33
Tm  0.0000  0.0000  0.5000  4 Tm 3.33, 4 Tb 3.33, 4 Zn 3.33


#4
Entry from the Alexandria database: a relaxed TbTm2Zn crystal (GGA-PBE).

The density of states at the Fermi level is 4.1 states/eV/f.u. As for the space group: P4/mmm, No. 123. The volume is 26.6 Å³/atom.

Cell: 3.5244 3.5244 8.5597 Å, 90.00 90.00 90.00°
Closest atoms and distances in Å follow each position.
Fractional coordinates of all 4 atoms:
Tm  0.0000  0.0000  0.7954  4 Zn 3.05
Tm  0.0000  0.0000  0.2046  4 Zn 3.05
Tb  0.5000  0.5000  0.5000  4 Tb 3.52, 8 Tm 3.55
Zn  0.5000  0.5000  0.0000  8 Tm 3.05


Which one is the least stable? From the structures above, #3.